1.
AlCoW2 | GGA-PBEsol | relaxed

spin magnetization = 0.99 μB per cell
Fermi-level density of states = 3.8 states/eV/f.u.
symmetry = Imm2 (44)
ΔH_f (0 K) = 0.0674 eV/atom

Unit cell a=4.8619 b=4.8619 c=4.8619 alpha=141.59 beta=127.75 gamma=66.68
Positions (direct):
Al 0.0000 0.0000 0.0000
Co 0.2315 0.7315 0.5000
W 0.4736 0.4736 0.0000
W 0.7285 0.2285 0.5000

***

2.
LiMnPO5 | GGA-PBEsol | relaxed

spin magnetization = 12.00 μB per cell
Fermi-level density of states = 0.4 states/eV/f.u.
symmetry = Pnma (62)
energy relative to the elements, uncorrected = -2.037 eV per atom

Unit cell a=6.9862 b=6.1973 c=7.2955 alpha=90.00 beta=90.00 gamma=90.00
Positions (direct):
Li 0.0000 0.0000 0.0000
Li 0.0000 0.5000 0.0000
Li 0.5000 0.0000 0.5000
Li 0.5000 0.5000 0.5000
Mn 0.1420 0.2500 0.2688
Mn 0.3580 0.7500 0.7688
Mn 0.6420 0.2500 0.2312
Mn 0.8580 0.7500 0.7312
P 0.1232 0.7500 0.3793
P 0.3768 0.2500 0.8793
P 0.6232 0.7500 0.1207
P 0.8768 0.2500 0.6207
O 0.0639 0.2500 0.5095
O 0.1111 0.7500 0.8351
O 0.1285 0.5554 0.2479
O 0.1285 0.9446 0.2479
O 0.1984 0.2500 0.0053
O 0.3016 0.7500 0.5053
O 0.3715 0.0554 0.7479
O 0.3715 0.4446 0.7479
O 0.3889 0.2500 0.3351
O 0.4361 0.7500 0.0095
O 0.5639 0.2500 0.9905
O 0.6111 0.7500 0.6649
O 0.6285 0.5554 0.2521
O 0.6285 0.9446 0.2521
O 0.6984 0.2500 0.4947
O 0.8016 0.7500 0.9947
O 0.8715 0.0554 0.7521
O 0.8715 0.4446 0.7521
O 0.8889 0.2500 0.1649
O 0.9361 0.7500 0.4905

***

3.
Ba3Ti3O8 | GGA-PBEsol | relaxed

spin magnetization = 1.63 μB per cell
Fermi-level density of states = 5.2 states/eV/f.u.
symmetry = C2/m (12)
energy relative to the elements, uncorrected = -2.982 eV per atom

Unit cell a=5.7113 b=5.7113 c=6.9430 alpha=91.43 beta=91.43 gamma=58.87
Positions (direct):
Ba 0.0000 0.0000 0.0000
Ba 0.3351 0.3351 0.6679
Ba 0.6649 0.6649 0.3321
Ti 0.0000 0.0000 0.5000
Ti 0.3178 0.3178 0.1842
Ti 0.6822 0.6822 0.8158
O 0.0000 0.5000 0.0000
O 0.1661 0.1661 0.3396
O 0.1717 0.6647 0.3277
O 0.3353 0.8283 0.6723
O 0.5000 0.0000 0.0000
O 0.6647 0.1717 0.3277
O 0.8283 0.3353 0.6723
O 0.8339 0.8339 0.6604

***

4.
Zn3Au | GGA-PBEsol | relaxed

spin magnetization = 0.00 μB per cell
Fermi-level density of states = 0.7 states/eV/f.u.
symmetry = Fm-3m (225)
ΔH_f (0 K) = -0.0971 eV/atom

Unit cell a=4.3596 b=4.3596 c=4.3596 alpha=60.00 beta=60.00 gamma=60.00
Positions (direct):
Zn 0.0000 0.0000 0.0000
Zn 0.2500 0.2500 0.2500
Zn 0.7500 0.7500 0.7500
Au 0.5000 0.5000 0.5000